Crystalline Li4Al2GaPt at its relaxed geometry. Source: OQMD via LeMat-Bulk, functional GGA-PBE.

Cell: 4.318 4.318 6.162 Å, 90.00 90.00 90.00°
Fractional coordinates of all 8 atoms:
Al 0.000 0.500 0.230
Al 0.500 0.000 0.770
Ga 0.000 0.000 0.500
Li 0.000 0.000 0.000
Li 0.500 0.000 0.248
Li 0.500 0.500 0.500
Li 0.000 0.500 0.752
Pt 0.500 0.500 0.000

Calculated values
crystal system: tetragonal
total moment: 0.0 Bohr magnetons per cell
total energy: -3.537 eV/atom

Crystalline BeAlAg2 at its relaxed geometry. Source: OQMD via LeMat-Bulk, functional GGA-PBE.

Cell: 4.388 4.388 4.388 Å, 60.00 60.00 60.00°
Fractional coordinates of all 4 atoms:
Ag 0.000 0.000 0.000
Ag 0.750 0.750 0.750
Al 0.500 0.500 0.500
Be 0.250 0.250 0.250

Calculated values
crystal system: cubic
total energy: -3.084 eV/atom